No. 1
Below is a relaxed Th2Ni12As3Au crystal, with properties calculated at the PBE level.

Unit cell a=6.462 b=6.462 c=6.462 alpha=85.30 beta=85.30 gamma=85.30
Sites, in units of the cell vectors:
1 Th 0.172 0.172 0.172
2 Th 0.828 0.828 0.828
3 Ni 0.106 0.106 0.619
4 Ni 0.106 0.619 0.106
5 Ni 0.195 0.692 0.692
6 Ni 0.308 0.308 0.805
7 Ni 0.308 0.805 0.308
8 Ni 0.381 0.894 0.894
9 Ni 0.619 0.106 0.106
10 Ni 0.692 0.195 0.692
11 Ni 0.692 0.692 0.195
12 Ni 0.805 0.308 0.308
13 Ni 0.894 0.381 0.894
14 Ni 0.894 0.894 0.381
15 As 0.000 0.500 0.500
16 As 0.500 0.000 0.500
17 As 0.500 0.500 0.000
18 Au 0.500 0.500 0.500

Energy of formation = -0.09 eV per atom

---

No. 2
Below is a relaxed Pm3Ho4Se8 crystal, with properties calculated at the PBE level.

Unit cell a=8.221 b=8.221 c=8.204 alpha=119.89 beta=119.89 gamma=90.04
Sites, in units of the cell vectors:
1 Pm 0.000 0.000 0.000
2 Pm 0.000 0.500 0.000
3 Pm 0.500 0.000 0.000
4 Ho 0.000 0.500 0.500
5 Ho 0.500 0.000 0.500
6 Ho 0.500 0.500 0.000
7 Ho 0.500 0.500 0.500
8 Se 0.250 0.750 0.500
9 Se 0.254 0.254 0.001
10 Se 0.254 0.254 0.508
11 Se 0.254 0.746 0.000
12 Se 0.746 0.254 0.000
13 Se 0.746 0.746 0.492
14 Se 0.746 0.746 0.999
15 Se 0.750 0.250 0.500

Uncorrected formation energy = -1.8364 eV per atom

---

No. 3
Below is a relaxed SrCa3Rh crystal, with properties calculated at the PBE level.

Unit cell a=5.580 b=8.578 c=7.735 alpha=90.00 beta=97.13 gamma=90.00
Sites, in units of the cell vectors:
1 Sr 0.036 0.250 0.079
2 Sr 0.964 0.750 0.921
3 Ca 0.066 0.750 0.458
4 Ca 0.472 0.028 0.728
5 Ca 0.472 0.472 0.728
6 Ca 0.528 0.528 0.272
7 Ca 0.528 0.972 0.272
8 Ca 0.934 0.250 0.542
9 Rh 0.411 0.250 0.441
10 Rh 0.589 0.750 0.559

ΔE to the lowest computed polymorph = 0.020 eV/atom
Energy of formation = -0.21 eV per atom